Material: PmErCd
Method: DFT, PBE
State: relaxed

a b c (Å): 3.633 3.633 7.041
angles (deg): 104.95 104.95 90.00
Fractional coordinates of all 3 atoms:
Cd 0.278 0.278 0.555
Pm 0.943 0.943 0.886
Er 0.630 0.630 0.259

Formation energy   -55.9 kJ/mol of formula units
Calculated total energy   -3.60 eV/atom
D(E_F)   3.8 states/eV/cell
Relative energy among the computed polymorphs   1 meV/atom

---

Material: SrTlHPb2
Method: DFT, PBE
State: relaxed

a b c (Å): 5.064 5.064 5.107
angles (deg): 90.00 90.00 90.00
Fractional coordinates of all 5 atoms:
Pb 0.000 0.500 0.000
Pb 0.500 0.000 0.000
Sr 0.000 0.000 0.500
Tl 0.500 0.500 0.500
H 0.000 0.000 0.000

Calculated total energy   -3.10 eV/atom
D(E_F)   2.7 states/eV/cell

---

Material: Li4MgRe
Method: DFT, PBE
State: relaxed

a b c (Å): 5.026 5.026 5.026
angles (deg): 60.00 60.00 60.00
Fractional coordinates of all 6 atoms:
Li 0.881 0.373 0.373
Li 0.373 0.373 0.881
Li 0.373 0.881 0.373
Li 0.373 0.373 0.373
Mg 0.750 0.750 0.750
Re 0.000 0.000 0.000

Formation energy   281.5 kJ/mol of formula units
Calculated total energy   -3.13 eV/atom
D(E_F)   4.1 states/eV/cell

---

Material: TlGeN2O
Method: DFT, PBE
State: relaxed

a b c (Å): 4.322 4.322 4.341
angles (deg): 90.00 90.00 90.00
Fractional coordinates of all 5 atoms:
Tl 0.000 0.000 0.000
Ge 0.500 0.500 0.500
O 0.000 0.000 0.500
N 0.000 0.500 0.000
N 0.500 0.000 0.000

Energy relative to the elements, uncorrected   1.665 eV/atom
Calculated total energy   -4.05 eV/atom
D(E_F)   2.6 states/eV/cell

---

Material: LaAlFe2
Method: DFT, PBE
State: relaxed

a b c (Å): 3.102 3.102 7.309
angles (deg): 90.00 90.00 90.00
Fractional coordinates of all 4 atoms:
La 0.000 0.000 0.478
Al 0.500 0.500 0.827
Fe 0.000 0.000 0.017
Fe 0.500 0.500 0.178

Formation energy   -3.0 kJ/mol of formula units
Calculated total energy   -6.41 eV/atom
D(E_F)   3.2 states/eV/cell

---

Material: Mg3Hg
Method: DFT, PBE
State: relaxed

a b c (Å): 6.190 6.190 15.536
angles (deg): 90.00 90.00 120.00
Fractional coordinates of all 24 atoms:
Hg 0.000 0.000 0.000
Hg 0.000 0.000 0.500
Hg 0.333 0.667 0.332
Hg 0.333 0.667 0.668
Hg 0.667 0.333 0.168
Hg 0.667 0.333 0.832
Mg 0.998 0.499 0.000
Mg 0.002 0.501 0.500
Mg 0.167 0.333 0.166
Mg 0.167 0.333 0.834
Mg 0.167 0.833 0.166
Mg 0.167 0.833 0.834
Mg 0.333 0.167 0.334
Mg 0.333 0.167 0.666
Mg 0.501 0.002 0.000
Mg 0.499 0.998 0.500
Mg 0.501 0.499 0.000
Mg 0.499 0.501 0.500
Mg 0.667 0.833 0.166
Mg 0.667 0.833 0.834
Mg 0.833 0.167 0.334
Mg 0.833 0.167 0.666
Mg 0.833 0.667 0.334
Mg 0.833 0.667 0.666

Formation energy   -56.5 kJ/mol of formula units
Calculated total energy   -1.42 eV/atom
D(E_F)   5.6 states/eV/cell

---

Material: CaGeAu4
Method: DFT, PBE
State: relaxed

a b c (Å): 3.937 8.081 7.759
angles (deg): 90.00 90.00 90.00
Fractional coordinates of all 12 atoms:
Ca 0.000 0.595 0.750
Ca 0.000 0.405 0.250
Ge 0.000 0.205 0.750
Ge 0.000 0.795 0.250
Au 0.000 0.000 0.500
Au 0.000 0.000 0.000
Au 0.500 0.888 0.750
Au 0.500 0.112 0.250
Au 0.500 0.666 0.056
Au 0.500 0.334 0.944
Au 0.500 0.666 0.444
Au 0.500 0.334 0.556

Formation energy   -203.1 kJ/mol of formula units
Calculated total energy   -3.64 eV/atom
D(E_F)   5.2 states/eV/cell
Relative energy among the computed polymorphs   0 meV/atom

---

Material: Pr2PdRh
Method: DFT, PBE
State: relaxed

a b c (Å): 4.116 4.116 7.566
angles (deg): 74.22 74.22 60.00
Fractional coordinates of all 4 atoms:
Pr 0.077 0.077 0.770
Pr 0.256 0.256 0.231
Pd 0.502 0.502 0.494
Rh 0.665 0.665 0.005

Formation energy   -221.5 kJ/mol of formula units
Calculated total energy   -6.10 eV/atom
D(E_F)   2.7 states/eV/cell

---

Material: NaSrNi
Method: DFT, PBE
State: relaxed

a b c (Å): 4.222 5.630 7.971
angles (deg): 100.94 105.36 90.00
Fractional coordinates of all 6 atoms:
Ni 0.761 0.086 0.522
Ni 0.239 0.914 0.478
Na 0.586 0.798 0.171
Na 0.414 0.202 0.829
Sr 0.849 0.669 0.699
Sr 0.151 0.331 0.301

Formation energy   25.0 kJ/mol of formula units
Calculated total energy   -2.84 eV/atom
D(E_F)   3.2 states/eV/cell
Relative energy among the computed polymorphs   151 meV/atom

---

Material: LaTaMo2
Method: DFT, PBE
State: relaxed

a b c (Å): 3.284 4.833 4.833
angles (deg): 90.00 90.00 90.00
Fractional coordinates of all 4 atoms:
La 0.500 0.000 0.500
Mo 0.000 0.000 0.000
Mo 0.000 0.500 0.500
Ta 0.500 0.500 0.000

Formation energy   201.3 kJ/mol of formula units
Calculated total energy   -9.09 eV/atom
D(E_F)   4.9 states/eV/cell
Relative energy among the computed polymorphs   232 meV/atom

---

Material: Cu2SiPbSe4
Method: DFT, PBE
State: relaxed

a b c (Å): 6.256 6.256 6.658
angles (deg): 117.56 117.56 90.87
Fractional coordinates of all 8 atoms:
Cu 0.749 0.249 0.499
Cu 0.249 0.749 0.499
Si 0.499 0.499 0.999
Pb 0.006 0.006 0.012
Se 0.561 0.561 0.709
Se 0.440 0.847 0.287
Se 0.847 0.440 0.287
Se 0.148 0.148 0.709

Energy relative to the elements, uncorrected   -0.315 eV/atom
Calculated total energy   -4.22 eV/atom

---

Material: Ba2NaSi
Method: DFT, PBE
State: relaxed

a b c (Å): 5.894 5.894 5.894
angles (deg): 60.00 60.00 60.00
Fractional coordinates of all 4 atoms:
Na 0.000 0.000 0.000
Si 0.500 0.500 0.500
Ba 0.250 0.250 0.250
Ba 0.750 0.750 0.750

Energy relative to the elements, uncorrected   -0.119 eV/atom
Calculated total energy   -2.77 eV/atom
D(E_F)   1.4 states/eV/cell
Relative energy among the computed polymorphs   68 meV/atom

---

Material: PrAlCuPd
Method: DFT, PBE
State: relaxed

a b c (Å): 4.781 4.781 4.781
angles (deg): 60.00 60.00 60.00
Fractional coordinates of all 4 atoms:
Pr 0.750 0.750 0.750
Cu 0.500 0.500 0.500
Pd 0.000 0.000 0.000
Al 0.250 0.250 0.250

Formation energy   -166.3 kJ/mol of formula units
Calculated total energy   -4.88 eV/atom
D(E_F)   3.8 states/eV/cell
Relative energy among the computed polymorphs   148 meV/atom

---

| no. | M_tot (μB/cell) |
| --- | --- |
| 1 | 0.6 |
| 2 | 0.0 |
| 3 | 1.1 |
| 4 | 2.2 |
| 5 | 4.2 |
| 6 | 0.0 |
| 7 | 0.0 |
| 8 | 0.0 |
| 9 | 0.0 |
| 10 | 0.0 |
| 11 | 0.0 |
| 12 | 0.0 |
| 13 | 0.0 |